Record 1
Here is a relaxed ThIn crystal from OQMD via LeMat-Bulk. Energies are from PBE-GGA.

## Properties
Total DFT energy (no corrections) ... -5.17 eV per atom
Space-group type ... P4/mmm
Magnetization ... 0.0 Bohr magnetons per cell

a b c (Å): 3.530 3.530 4.964
angles (deg): 90.00 90.00 90.00
Element x y z (fractional)
Th 0.000 0.000 0.000
In 0.500 0.500 0.500

Record 2
Here is a relaxed Be2ZnPt2 crystal from OQMD via LeMat-Bulk. Energies are from PBE-GGA.

## Properties
Distance to the lowest polymorph of the same formula ... 0.000 eV per atom
Total DFT energy (no corrections) ... -4.80 eV per atom
Space-group type ... P4/mbm
Magnetization ... 0.0 Bohr magnetons per cell

a b c (Å): 6.687 6.687 2.740
angles (deg): 90.00 90.00 90.00
Element x y z (fractional)
Be 0.124 0.376 0.000
Be 0.376 0.876 0.000
Be 0.624 0.124 0.000
Be 0.876 0.624 0.000
Zn 0.000 0.000 0.000
Zn 0.500 0.500 0.000
Pt 0.169 0.669 0.500
Pt 0.331 0.169 0.500
Pt 0.669 0.831 0.500
Pt 0.831 0.331 0.500

Record 3
Here is a relaxed HoEr2Fe6CoNi2 crystal from OQMD via LeMat-Bulk. Energies are from PBE-GGA.

## Properties
Total DFT energy (no corrections) ... -6.99 eV per atom
Space-group type ... R-3m
Energy of formation ... -0.173 eV/atom
Magnetization ... 14.1 Bohr magnetons per cell

a b c (Å): 8.681 8.681 8.681
angles (deg): 33.29 33.29 33.29
Element x y z (fractional)
Ho 0.000 0.000 0.000
Er 0.142 0.142 0.142
Er 0.858 0.858 0.858
Fe 0.082 0.583 0.583
Fe 0.417 0.417 0.918
Fe 0.417 0.918 0.417
Fe 0.583 0.082 0.583
Fe 0.583 0.583 0.082
Fe 0.918 0.417 0.417
Co 0.500 0.500 0.500
Ni 0.333 0.333 0.333
Ni 0.667 0.667 0.667

Record 4
Here is a relaxed ScAuSO crystal from OQMD via LeMat-Bulk. Energies are from PBE-GGA.

## Properties
Distance to the lowest polymorph of the same formula ... 0.250 eV per atom
Total DFT energy (no corrections) ... -6.26 eV per atom
Space-group type ... P4/nmm
Magnetization ... 0.0 Bohr magnetons per cell

a b c (Å): 3.769 3.769 8.859
angles (deg): 90.00 90.00 90.00
Element x y z (fractional)
Sc 0.250 0.250 0.111
Sc 0.750 0.750 0.889
Au 0.250 0.750 0.500
Au 0.750 0.250 0.500
S 0.250 0.250 0.727
S 0.750 0.750 0.273
O 0.250 0.750 0.000
O 0.750 0.250 0.000

Record 5
Here is a relaxed Dy3FeNi8 crystal from OQMD via LeMat-Bulk. Energies are from PBE-GGA.

## Properties
Total DFT energy (no corrections) ... -5.91 eV per atom
Space-group type ... R-3m
Energy of formation ... -0.353 eV/atom
Magnetization ... 3.3 Bohr magnetons per cell

a b c (Å): 8.545 8.545 8.545
angles (deg): 33.96 33.96 33.96
Element x y z (fractional)
Dy 0.000 0.000 0.000
Dy 0.139 0.139 0.139
Dy 0.861 0.861 0.861
Fe 0.500 0.500 0.500
Ni 0.082 0.584 0.584
Ni 0.333 0.333 0.333
Ni 0.416 0.416 0.918
Ni 0.416 0.918 0.416
Ni 0.584 0.082 0.584
Ni 0.584 0.584 0.082
Ni 0.667 0.667 0.667
Ni 0.918 0.416 0.416

Record 6
Here is a relaxed LiSiSnIr crystal from OQMD via LeMat-Bulk. Energies are from PBE-GGA.

## Properties
Distance to the lowest polymorph of the same formula ... 0.304 eV per atom
Total DFT energy (no corrections) ... -5.00 eV per atom
Space-group type ... F-43m
Magnetization ... 0.0 Bohr magnetons per cell

a b c (Å): 4.449 4.449 4.449
angles (deg): 60.00 60.00 60.00
Element x y z (fractional)
Li 0.000 0.000 0.000
Si 0.500 0.500 0.500
Sn 0.750 0.750 0.750
Ir 0.250 0.250 0.250

Record 7
Here is a relaxed Li4Re2C crystal from OQMD via LeMat-Bulk. Energies are from PBE-GGA.

## Properties
Total DFT energy (no corrections) ... -5.01 eV per atom
Space-group type ... I4/mmm
Magnetization ... 0.1 Bohr magnetons per cell

a b c (Å): 9.225 9.225 9.225
angles (deg): 157.83 157.83 31.55
Element x y z (fractional)
Li 0.000 0.500 0.500
Li 0.118 0.118 0.000
Li 0.500 0.000 0.500
Li 0.882 0.882 0.000
Re 0.265 0.265 0.000
Re 0.735 0.735 0.000
C 0.000 0.000 0.000

Record 8
Here is a relaxed Tm2Al3SiPt2 crystal from OQMD via LeMat-Bulk. Energies are from PBE-GGA.

## Properties
Total DFT energy (no corrections) ... -5.68 eV per atom
Space-group type ... Cm
Magnetization ... 0.0 Bohr magnetons per cell

a b c (Å): 9.499 9.499 4.083
angles (deg): 90.00 90.00 24.40
Element x y z (fractional)
Tm 0.000 0.000 0.000
Tm 0.204 0.204 0.501
Al 0.352 0.352 0.996
Al 0.635 0.635 0.002
Al 0.851 0.851 0.496
Si 0.564 0.564 0.502
Pt 0.435 0.435 0.497
Pt 0.768 0.768 0.997

Record 9
Here is a relaxed K2FeAsCl6 crystal from OQMD via LeMat-Bulk. Energies are from PBE-GGA.

## Properties
Total DFT energy (no corrections) ... -3.66 eV per atom
Space-group type ... Fm-3m
Magnetization ... 3.0 Bohr magnetons per cell

a b c (Å): 7.100 7.100 7.100
angles (deg): 60.00 60.00 60.00
Element x y z (fractional)
K 0.250 0.250 0.250
K 0.750 0.750 0.750
Fe 0.000 0.000 0.000
As 0.500 0.500 0.500
Cl 0.243 0.243 0.757
Cl 0.243 0.757 0.243
Cl 0.243 0.757 0.757
Cl 0.757 0.243 0.243
Cl 0.757 0.243 0.757
Cl 0.757 0.757 0.243

Record 10
Here is a relaxed NbIn2Ir crystal from OQMD via LeMat-Bulk. Energies are from PBE-GGA.

## Properties
Total DFT energy (no corrections) ... -5.92 eV per atom
Space-group type ... F-43m
Magnetization ... 0.6 Bohr magnetons per cell

a b c (Å): 4.734 4.734 4.734
angles (deg): 60.00 60.00 60.00
Element x y z (fractional)
Nb 0.000 0.000 0.000
In 0.500 0.500 0.500
In 0.750 0.750 0.750
Ir 0.250 0.250 0.250

Record 11
Here is a relaxed BaZrPb crystal from OQMD via LeMat-Bulk. Energies are from PBE-GGA.

## Properties
Distance to the lowest polymorph of the same formula ... 0.000 eV per atom
Total DFT energy (no corrections) ... -4.55 eV per atom
Space-group type ... P3m1
Magnetization ... 1.8 Bohr magnetons per cell

a b c (Å): 5.572 5.572 10.767
angles (deg): 90.00 90.00 120.00
Element x y z (fractional)
Ba 0.000 0.000 0.000
Ba 0.000 0.000 0.341
Ba 0.333 0.667 0.563
Zr 0.667 0.333 0.099
Zr 0.667 0.333 0.574
Zr 0.667 0.333 0.812
Pb 0.000 0.000 0.675
Pb 0.333 0.667 0.185
Pb 0.333 0.667 0.888

Record 12
Here is a relaxed Li4CdCuPb2 crystal from OQMD via LeMat-Bulk. Energies are from PBE-GGA.

## Properties
Total DFT energy (no corrections) ... -2.68 eV per atom
Space-group type ... P-4m2

a b c (Å): 4.637 4.637 6.632
angles (deg): 90.00 90.00 90.00
Element x y z (fractional)
Li 0.000 0.000 0.000
Li 0.000 0.500 0.233
Li 0.500 0.000 0.767
Li 0.500 0.500 0.500
Cd 0.000 0.000 0.500
Cu 0.500 0.500 0.000
Pb 0.000 0.500 0.772
Pb 0.500 0.000 0.228

Record 13
Here is a relaxed TbTlO3 crystal from OQMD via LeMat-Bulk. Energies are from PBE-GGA.

## Properties
Total DFT energy (no corrections) ... -6.39 eV per atom
Space-group type ... R-3c
Magnetization ... 0.0 Bohr magnetons per cell

a b c (Å): 6.049 6.049 6.049
angles (deg): 58.31 58.31 58.31
Element x y z (fractional)
Tb 0.000 0.000 0.000
Tb 0.500 0.500 0.500
Tl 0.250 0.250 0.250
Tl 0.750 0.750 0.750
O 0.109 0.750 0.391
O 0.250 0.609 0.891
O 0.391 0.109 0.750
O 0.609 0.891 0.250
O 0.750 0.391 0.109
O 0.891 0.250 0.609

Record 14
Here is a relaxed LiUTl crystal from OQMD via LeMat-Bulk. Energies are from PBE-GGA.

## Properties
Distance to the lowest polymorph of the same formula ... 0.357 eV per atom
Total DFT energy (no corrections) ... -4.12 eV per atom
Space-group type ... F-43m
Magnetization ... 3.3 Bohr magnetons per cell

a b c (Å): 5.013 5.013 5.013
angles (deg): 60.00 60.00 60.00
Element x y z (fractional)
Li 0.000 0.000 0.000
U 0.250 0.250 0.250
Tl 0.500 0.500 0.500

Record 15
Here is a relaxed NdAs2 crystal from OQMD via LeMat-Bulk. Energies are from PBE-GGA.

## Properties
Total DFT energy (no corrections) ... -4.10 eV per atom
Space-group type ... Fd-3m
Magnetization ... 6.0 Bohr magnetons per cell

a b c (Å): 9.432 9.432 9.432
angles (deg): 60.00 60.00 60.00
Element x y z (fractional)
Nd 0.125 0.125 0.125
Nd 0.875 0.875 0.875
As 0.000 0.000 0.000
As 0.000 0.000 0.500
As 0.000 0.500 0.000
As 0.500 0.000 0.000

Record 16
Here is a relaxed RbIrNO crystal from OQMD via LeMat-Bulk. Energies are from PBE-GGA.

## Properties
Distance to the lowest polymorph of the same formula ... 0.814 eV per atom
Total DFT energy (no corrections) ... -5.18 eV per atom
Space-group type ... P4/nmm
Magnetization ... 1.5 Bohr magnetons per cell

a b c (Å): 4.435 4.435 7.699
angles (deg): 90.00 90.00 90.00
Element x y z (fractional)
Rb 0.250 0.750 0.000
Rb 0.750 0.250 0.000
Ir 0.250 0.250 0.434
Ir 0.750 0.750 0.566
N 0.250 0.250 0.204
N 0.750 0.750 0.796
O 0.250 0.750 0.500
O 0.750 0.250 0.500

Record 17
Here is a relaxed ZnIn2Te3S crystal from OQMD via LeMat-Bulk. Energies are from PBE-GGA.

## Properties
Total DFT energy (no corrections) ... -3.32 eV per atom
Space-group type ... P1

a b c (Å): 6.080 6.105 7.428
angles (deg): 66.15 66.03 88.58
Element x y z (fractional)
Zn 0.000 0.000 0.000
In 0.526 0.470 0.005
In 0.770 0.237 0.524
Te 0.150 0.059 0.274
Te 0.367 0.855 0.737
Te 0.612 0.639 0.277
S 0.896 0.344 0.769

Record 18
Here is a relaxed CsCoHg crystal from OQMD via LeMat-Bulk. Energies are from PBE-GGA.

## Properties
Total DFT energy (no corrections) ... -1.86 eV per atom
Space-group type ... F-43m
Magnetization ... 1.8 Bohr magnetons per cell

a b c (Å): 5.282 5.282 5.282
angles (deg): 60.00 60.00 60.00
Element x y z (fractional)
Cs 0.000 0.000 0.000
Co 0.250 0.250 0.250
Hg 0.500 0.500 0.500

Record 19
Here is a relaxed NdTeAs crystal from OQMD via LeMat-Bulk. Energies are from PBE-GGA.

## Properties
Total DFT energy (no corrections) ... -4.76 eV per atom
Space-group type ... F-43m
Magnetization ... 0.0 Bohr magnetons per cell

a b c (Å): 5.014 5.014 5.014
angles (deg): 60.00 60.00 60.00
Element x y z (fractional)
Nd 0.000 0.000 0.000
Te 0.500 0.500 0.500
As 0.250 0.250 0.250

Record 20
Here is a relaxed KHoNO crystal from OQMD via LeMat-Bulk. Energies are from PBE-GGA.

## Properties
Distance to the lowest polymorph of the same formula ... 0.226 eV per atom
Total DFT energy (no corrections) ... -5.83 eV per atom
Space-group type ... P4/mmm
Magnetization ... 1.0 Bohr magnetons per cell

a b c (Å): 3.620 3.620 4.758
angles (deg): 90.00 90.00 90.00
Element x y z (fractional)
K 0.000 0.000 0.000
Ho 0.500 0.500 0.500
N 0.000 0.000 0.500
O 0.500 0.500 0.000

Record 21
Here is a relaxed SiB2Mo3 crystal from OQMD via LeMat-Bulk. Energies are from PBE-GGA.

## Properties
Total DFT energy (no corrections) ... -8.85 eV per atom
Space-group type ... P6_3/mmc
Magnetization ... 0.0 Bohr magnetons per cell

a b c (Å): 3.162 3.162 17.235
angles (deg): 90.00 90.00 120.00
Element x y z (fractional)
Si 0.000 0.000 0.250
Si 0.000 0.000 0.750
B 0.333 0.667 0.076
B 0.333 0.667 0.424
B 0.667 0.333 0.576
B 0.667 0.333 0.924
Mo 0.000 0.000 0.000
Mo 0.000 0.000 0.500
Mo 0.333 0.667 0.646
Mo 0.333 0.667 0.854
Mo 0.667 0.333 0.146
Mo 0.667 0.333 0.354

Record 22
Here is a relaxed Pu2SnPt3 crystal from OQMD via LeMat-Bulk. Energies are from PBE-GGA.

## Properties
Total DFT energy (no corrections) ... -9.25 eV per atom
Space-group type ... P6_3/mmc
Magnetization ... 21.5 Bohr magnetons per cell

a b c (Å): 5.653 5.653 8.749
angles (deg): 90.00 90.00 120.00
Element x y z (fractional)
Pu 0.333 0.667 0.072
Pu 0.333 0.667 0.428
Pu 0.667 0.333 0.572
Pu 0.667 0.333 0.928
Sn 0.000 0.000 0.000
Sn 0.000 0.000 0.500
Pt 0.173 0.345 0.750
Pt 0.173 0.827 0.750
Pt 0.345 0.173 0.250
Pt 0.655 0.827 0.750
Pt 0.827 0.173 0.250
Pt 0.827 0.655 0.250

Record 23
Here is a relaxed ErTmGa4Pt2 crystal from OQMD via LeMat-Bulk. Energies are from PBE-GGA.

## Properties
Total DFT energy (no corrections) ... -5.08 eV per atom
Space-group type ... Amm2
Magnetization ... 0.0 Bohr magnetons per cell

a b c (Å): 6.696 5.489 5.489
angles (deg): 46.58 90.00 90.00
Element x y z (fractional)
Er 0.000 0.000 0.000
Tm 0.500 0.833 0.833
Ga 0.199 0.287 0.287
Ga 0.303 0.547 0.547
Ga 0.697 0.547 0.547
Ga 0.801 0.287 0.287
Pt 0.000 0.711 0.711
Pt 0.500 0.122 0.122

Record 24
Here is a relaxed La3In3CuAg2 crystal from OQMD via LeMat-Bulk. Energies are from PBE-GGA.

## Properties
Total DFT energy (no corrections) ... -4.03 eV per atom
Space-group type ... P-62m
Magnetization ... 0.0 Bohr magnetons per cell

a b c (Å): 7.857 7.857 4.306
angles (deg): 90.00 90.00 120.00
Element x y z (fractional)
La 0.000 0.407 0.000
La 0.407 0.000 0.000
La 0.593 0.593 0.000
In 0.000 0.763 0.500
In 0.237 0.237 0.500
In 0.763 0.000 0.500
Cu 0.000 0.000 0.000
Ag 0.333 0.667 0.500
Ag 0.667 0.333 0.500

Record 25
Here is a relaxed OsC2 crystal from OQMD via LeMat-Bulk. Energies are from PBE-GGA.

## Properties
Distance to the lowest polymorph of the same formula ... 0.624 eV per atom
Total DFT energy (no corrections) ... -8.67 eV per atom
Space-group type ... P2/m
Magnetization ... 0.0 Bohr magnetons per cell

a b c (Å): 3.531 2.792 16.470
angles (deg): 90.00 92.17 90.00
Element x y z (fractional)
Os 0.062 0.000 0.307
Os 0.232 0.000 0.451
Os 0.768 0.000 0.549
Os 0.938 0.000 0.693
C 0.066 0.000 0.965
C 0.206 0.000 0.893
C 0.324 0.000 0.821
C 0.461 0.000 0.746
C 0.539 0.000 0.254
C 0.676 0.000 0.179
C 0.794 0.000 0.107
C 0.934 0.000 0.035